[1]
Here is La2Sm7DyTl2 after structural relaxation from Alexandria via LeMat-Bulk. Energies are from PBE.

```
12
Lattice="5.991 1.048 0.851 1.056 5.990 0.851 5.685 5.678 12.909" Properties=species:S:1:pos:R:3 pbc="T T T"
La 3.041 3.037 4.820
La 9.691 9.679 9.792
Sm 8.906 6.427 11.471
Sm 6.438 8.898 11.471
Sm 5.090 5.084 6.994
Sm 7.641 7.632 7.618
Sm 3.523 3.519 0.851
Sm 3.826 6.289 3.141
Sm 6.294 3.819 3.141
Tl 6.051 6.044 9.869
Tl 6.681 6.672 4.743
Dy 0.000 0.000 0.000
```

DFT total energy, eV/cell: -52.627
Space-group type: C2/m, No. 12
Size of the total moment, μB per formula unit: 0.00
Energy of formation, eV per formula unit: -0.40


[2]
Here is La3Sm6Dy2Tl after structural relaxation from Alexandria via LeMat-Bulk. Energies are from PBE.

```
12
Lattice="-3.476 -5.164 0.719 4.993 -0.070 -3.785 6.224 -1.507 9.999" Properties=species:S:1:pos:R:3 pbc="T T T"
Tl 0.000 0.000 0.000
Sm 2.662 -4.311 0.130
Sm 3.254 -0.803 0.939
Sm 5.080 -2.431 6.803
Sm 7.251 -4.277 4.524
Sm 4.488 -5.939 5.994
Sm 0.491 -2.465 2.409
Dy 2.163 -1.773 -2.280
Dy -0.645 -3.462 -0.786
La 3.871 -3.371 3.467
La 6.665 -1.690 1.981
La 1.077 -5.051 4.953
```

DFT total energy, eV/cell: -54.779
Space-group type: C2/m, No. 12
Size of the total moment, μB per formula unit: 0.00
Energy of formation, eV per formula unit: -0.11


[3]
Here is LaSmDy2Tl4 after structural relaxation from Alexandria via LeMat-Bulk. Energies are from PBE.

```
8
Lattice="5.459 0.000 0.000 2.730 4.728 0.000 2.730 1.576 8.938" Properties=species:S:1:pos:R:3 pbc="T T T"
Tl 8.189 4.728 3.388
Tl 5.459 3.152 7.780
Tl 2.730 1.576 5.550
Tl 5.459 3.152 1.158
La 0.000 0.000 0.000
Dy 8.189 4.728 6.696
Dy 2.730 1.576 2.242
Sm 5.459 3.152 4.469
```

DFT total energy, eV/cell: -31.248
Space-group type: R-3m, No. 166
Size of the total moment, μB per formula unit: 0.00
Energy of formation, eV per formula unit: -2.93